No. 1
A plane-wave DFT calculation with PBE was carried out for KCaIn2 after structural relaxation.

Properties
* total magnetic moment: 0.0 μB per formula unit
* E_form: -0.113 eV per atom
* uncorrected energy: -9.026 eV/cell

a = 3.8679 Å, b = 3.8679 Å, c = 9.6952 Å
α = 90.00°, β = 90.00°, γ = 90.00°
Fractional positions:
K: 0.0000 0.0000 0.0000
Ca: 0.5000 0.5000 0.3721
In: 0.0000 0.0000 0.5666
In: 0.5000 0.5000 0.7418


No. 2
A plane-wave DFT calculation with PBE was carried out for LuZrOsAu after structural relaxation.

Properties
* total magnetic moment: 0.0 μB per formula unit
* E_form: -0.482 eV per atom
* uncorrected energy: -29.503 eV/cell

a = 4.7988 Å, b = 4.7988 Å, c = 4.7988 Å
α = 60.00°, β = 60.00°, γ = 60.00°
Fractional positions:
Lu: 0.0000 0.0000 0.0000
Zr: 0.5000 0.5000 0.5000
Os: 0.2500 0.2500 0.2500
Au: 0.7500 0.7500 0.7500